Entry 1:
## CeAgAu (PBE)

Data for a relaxed structure of CeAgAu.

Lattice parameters (Å, degrees): 3.459 3.459 22.236 90.00 90.00 90.00
Space group I4/mmm (No. 139)
Unique sites:
Ce 0.000 0.000 0.060 x4
Ag 0.000 0.000 0.216 x4
Au 0.000 0.000 0.355 x4

Formation enthalpy at 0 K = -196 meV/atom
Distance to the lowest polymorph of the same formula = 256 meV per atom

***

Entry 2:
## FeMo2Se (PBE)

Data for a relaxed structure of FeMo2Se.

Lattice parameters (Å, degrees): 3.212 4.608 8.477 90.00 90.00 90.00
Space group Cmm2 (No. 35)
Unique sites:
Fe 0.000 0.000 0.000 x2
Mo 0.000 0.000 0.487 x2
Mo 0.000 0.500 0.237 x2
Se 0.000 0.500 0.758 x2

Raw formation energy = 0.351 eV/atom

***

Entry 3:
## Ti3Al3MoRh2 (PBE)

Data for a relaxed structure of Ti3Al3MoRh2.

Lattice parameters (Å, degrees): 7.3259 7.3259 3.0470 90.00 90.00 120.00
Space group P-62m (No. 189)
Unique sites:
Ti 0.0000 0.7149 0.0000 x3
Al 0.0000 0.3747 0.5000 x3
Mo 0.0000 0.0000 0.5000 x1
Rh 0.3333 0.6667 0.0000 x2

Formation enthalpy at 0 K = -513 meV/atom

***

Number 1: calculated total energy -4.217 eV per atom. Number 2: calculated total energy -8.051 eV per atom. Number 3: calculated total energy -7.229 eV per atom.